# 1
A plane-wave DFT calculation with PBE was carried out for a relaxed Tc2TeSe crystal.

Cell lengths 5.754, 5.754, 7.009 Å; angles 65.77, 65.77, 90.00 degrees
Positions (direct):
Tc  0.154  0.625  0.250
Tc  0.375  0.404  0.750
Tc  0.875  0.846  0.750
Se  0.500  0.500  0.000
Te  0.000  0.000  0.000
Se  0.250  0.750  0.500
Tc  0.596  0.125  0.250
Te  0.750  0.250  0.500

Properties
- distance to the lowest polymorph of the same formula (meV/atom) = 442
- formation energy from raw total energies (eV/atom) = 0.430
- total moment (μB per cell) = 0.0



# 2
A plane-wave DFT calculation with PBE was carried out for a relaxed In12Ga5Hg2 crystal.

Cell lengths 6.605, 10.095, 10.095 Å; angles 46.66, 89.01, 89.01 degrees
Positions (direct):
Ga  0.541  0.160  0.160
In  0.372  0.787  0.387
In  0.734  0.938  0.529
Ga  0.500  0.000  0.000
In  0.789  0.575  0.575
Hg  0.000  0.798  0.202
Ga  0.895  0.312  0.312
In  0.628  0.213  0.613
In  0.001  0.141  0.141
In  0.372  0.387  0.787
In  0.999  0.859  0.859
Hg  0.000  0.202  0.798
In  0.211  0.425  0.425
Ga  0.105  0.688  0.688
Ga  0.459  0.840  0.840
In  0.734  0.529  0.938
In  0.266  0.062  0.471
In  0.628  0.613  0.213
In  0.266  0.471  0.062

Properties
- DFT formation energy (eV per atom) = 0.06
- total moment (μB per cell) = 0.0



# 3
A plane-wave DFT calculation with PBE was carried out for a relaxed ZnCuC8N5 crystal.

Cell lengths 8.293, 8.293, 8.293 Å; angles 60.00, 60.00, 60.00 degrees
Last column: magnetic moment on the atom in μB.
Positions (direct):
C  0.283  0.572  0.572  0.61
C  0.572  0.572  0.572  0.61
C  0.096  0.096  0.096  0.04
N  0.540  0.153  0.153  0.03
C  0.572  0.572  0.283  0.61
C  0.096  0.096  0.713  0.04
N  0.153  0.153  0.153  0.03
C  0.713  0.096  0.096  0.04
C  0.572  0.283  0.572  0.61
Zn  0.250  0.250  0.250  0.01
N  0.153  0.540  0.153  0.03
Cu  0.000  0.000  0.000  0.47
N  0.153  0.153  0.540  0.03
C  0.096  0.713  0.096  0.04
N  0.500  0.500  0.500  0.00

Properties
- formation energy from raw total energies (eV/atom) = 1.709
- total moment (μB per cell) = 5.8



# 4
A plane-wave DFT calculation with PBE was carried out for a relaxed CoIrAu3 crystal.

Cell lengths 4.642, 4.642, 4.642 Å; angles 90.00, 90.00, 90.00 degrees
Last column: magnetic moment on the atom in μB.
Positions (direct):
Ir  0.500  0.500  0.500  0.53
Au  0.500  0.000  0.000  0.04
Co  0.000  0.000  0.000  1.84
Au  0.000  0.500  0.000  0.10
Au  0.000  0.000  0.500  0.20

Properties
- DFT formation energy (eV per atom) = 1.39
- distance to the lowest polymorph of the same formula (meV/atom) = 0
- total moment (μB per cell) = 2.7



# 5
A plane-wave DFT calculation with PBE was carried out for a relaxed Sm2Dy2Er crystal.

Cell lengths 6.293, 8.493, 9.617 Å; angles 43.26, 70.90, 68.25 degrees
Positions (direct):
Er  0.417  0.250  0.750
Sm  0.785  0.753  0.848
Dy  0.985  0.745  0.452
Dy  0.819  0.245  0.952
Sm  0.215  0.247  0.152
Sm  0.387  0.747  0.652
Sm  0.613  0.253  0.348
Er  0.583  0.750  0.250
Dy  0.181  0.755  0.048
Dy  0.015  0.255  0.548

Properties
- DFT formation energy (eV per atom) = 0.02
- distance to the lowest polymorph of the same formula (meV/atom) = 0
- total moment (μB per cell) = 0.0



# 6
A plane-wave DFT calculation with PBE was carried out for a relaxed CsKTe3As crystal.

Cell lengths 7.530, 7.530, 9.683 Å; angles 99.35, 99.35, 82.72 degrees
Positions (direct):
As  0.970  0.970  0.859
As  0.030  0.030  0.141
Te  0.617  0.076  0.790
Cs  0.613  0.613  0.883
Te  0.826  0.826  0.241
Te  0.924  0.383  0.210
Cs  0.387  0.387  0.117
Te  0.383  0.924  0.210
K  0.786  0.214  0.500
Te  0.076  0.617  0.790
Te  0.174  0.174  0.759
K  0.214  0.786  0.500

Properties
- formation energy from raw total energies (eV/atom) = -0.540
- total moment (μB per cell) = 0.0



# 7
A plane-wave DFT calculation with PBE was carried out for a relaxed Be2Pt crystal.

Cell lengths 7.517, 7.517, 7.517 Å; angles 156.58, 156.58, 33.36 degrees
Positions (direct):
Pt  0.750  0.250  0.500
Be  0.575  0.575  0.000
Pt  0.000  0.000  0.000
Be  0.325  0.825  0.500
Be  0.175  0.675  0.500
Be  0.425  0.425  0.000

Properties
- DFT formation energy (eV per atom) = -0.24
- distance to the lowest polymorph of the same formula (meV/atom) = 408
- total moment (μB per cell) = 0.0



# 8
A plane-wave DFT calculation with PBE was carried out for a relaxed SrMgSi2Rh crystal.

Cell lengths 4.248, 4.248, 6.170 Å; angles 110.14, 110.14, 90.00 degrees
Positions (direct):
Si  0.386  0.386  0.772
Mg  0.750  0.250  0.500
Si  0.614  0.614  0.228
Rh  0.250  0.750  0.500
Sr  0.000  0.000  0.000

Properties
- formation energy from raw total energies (eV/atom) = -0.511
- total moment (μB per cell) = 0.0



# 9
A plane-wave DFT calculation with PBE was carried out for a relaxed RbHfScAg2 crystal.

Cell lengths 5.143, 5.211, 5.143 Å; angles 90.00, 90.00, 90.00 degrees
Positions (direct):
Sc  0.000  0.000  0.000
Hf  0.500  0.500  0.500
Ag  0.000  0.000  0.500
Rb  0.000  0.500  0.000
Ag  0.500  0.000  0.000

Properties
- DFT formation energy (eV per atom) = 1.39
- total moment (μB per cell) = 0.0